# 1
# LiFe2Pd9

An optimized crystal structure of LiFe2Pd9 (PBE, the Alexandria database).

Properties
- Calculated density: 10.11 g cm⁻³
- Calculated total energy: -5.61 eV/atom
- Fermi-level density of states: 1.1119 states/eV per atom
- Formation enthalpy at 0 K: -0.145 eV per atom
- Total magnetic moment: 8.4 μB/cell

```
LiFe2Pd9
1.0
-1.3497 -2.5612 2.6149
0.5237 -2.8935 -2.5637
10.7886 -1.5960 4.0053
Li Fe Pd
1 2 9
Cartesian
0.0000 0.0000 0.0000
3.5570 -0.5262 1.3206
7.2316 -1.0698 2.6848
-0.4130 -2.7273 0.0256
3.1966 -3.2613 1.3657
6.7661 -3.7894 2.6909
1.1510 -1.5507 1.9853
4.7195 -2.0786 3.3101
8.2879 -2.6065 4.6349
2.0877 -1.7168 -0.6040
5.6562 -2.2448 0.7208
9.2246 -2.7727 2.0456
```



# 2
# Li4FePd5

An optimized crystal structure of Li4FePd5 (PBE, the Alexandria database).

Properties
- Calculated density: 7.56 g cm⁻³
- Calculated total energy: -4.56 eV/atom
- Fermi-level density of states: 0.4435 states/eV per atom
- Formation enthalpy at 0 K: -0.348 eV per atom
- Total magnetic moment: 3.8 μB/cell

```
Li4FePd5
1.0
-2.5169 -0.9135 1.3286
-0.9254 -1.1985 -2.5772
6.6863 -13.0727 3.6786
Li Fe Pd
4 1 5
Cartesian
1.3785 -2.6951 0.7584
2.6852 -5.2499 1.4773
4.0012 -7.8229 2.2013
5.3079 -10.3777 2.9202
0.0000 0.0000 0.0000
-1.0355 -2.3967 -0.2470
0.2997 -5.0072 0.4876
1.6220 -7.5924 1.2151
2.9442 -10.1776 1.9425
4.2794 -12.7881 2.6771
```



# 3
# LiFe4Pd15

An optimized crystal structure of LiFe4Pd15 (PBE, the Alexandria database).

Properties
- Calculated density: 10.30 g cm⁻³
- Calculated total energy: -5.81 eV/atom
- Fermi-level density of states: 0.8461 states/eV per atom
- Formation enthalpy at 0 K: -0.132 eV per atom
- Total magnetic moment: 17.1 μB/cell

```
LiFe4Pd15
1.0
3.9009 0.0000 0.0000
0.0000 3.9009 0.0000
0.0000 0.0000 19.3580
Li Fe Pd
1 4 15
Cartesian
0.0000 0.0000 0.0000
0.0000 0.0000 11.6229
0.0000 0.0000 15.5453
0.0000 0.0000 3.8127
0.0000 0.0000 7.7351
1.9505 1.9505 0.0000
1.9505 1.9505 7.7427
1.9505 1.9505 15.4742
1.9505 1.9505 3.8838
1.9505 1.9505 11.6153
1.9505 0.0000 1.9629
1.9505 0.0000 13.5461
1.9505 0.0000 9.6790
1.9505 0.0000 5.8119
1.9505 0.0000 17.3951
0.0000 1.9505 1.9629
0.0000 1.9505 13.5461
0.0000 1.9505 9.6790
0.0000 1.9505 5.8119
0.0000 1.9505 17.3951
```



Question: Which formula does entry 3 have?
Answer: LiFe4Pd15



Question: Look up the calculated density of the third one.
Answer: 10.30 g cm⁻³